No. 1
Computed, not measured: a geometry-optimized ReMo2Os structure at the GGA-PBE level of DFT.

Cell and atoms, written as POSCAR:
```
ReMo2Os
1.0
4.652 -1.390 0.000
4.652 1.390 0.000
-0.791 0.000 4.747
Re Mo Os
1 2 1
direct
0.000 0.000 0.000 Re
0.517 0.517 0.516 Mo
0.755 0.755 0.253 Mo
0.262 0.262 0.764 Os
```

- E (Ry/atom) = -0.82393
- E_form (meV per atom) = 125
- density of states at the Fermi level (states/eV per cell) = 3.2

=====

No. 2
Computed, not measured: a geometry-optimized ErTmMgZr structure at the GGA-PBE level of DFT.

Cell and atoms, written as POSCAR:
```
ErTmMgZr
1.0
3.403 0.000 0.000
0.000 3.403 0.000
0.000 0.000 9.225
Er Tm Mg Zr
1 1 1 1
direct
0.000 0.000 0.000 Er
0.000 0.000 0.488 Tm
0.500 0.500 0.743 Mg
0.500 0.500 0.245 Zr
```

- E (Ry/atom) = -0.35395
- E_form (meV per atom) = -22
- density of states at the Fermi level (states/eV per cell) = 4.6

=====

No. 3
Computed, not measured: a geometry-optimized HoNiRuPb structure at the GGA-PBE level of DFT.

Cell and atoms, written as POSCAR:
```
HoNiRuPb
1.0
0.000 3.323 3.323
3.323 0.000 3.323
3.323 3.323 0.000
Ho Ni Ru Pb
1 1 1 1
direct
0.000 0.000 0.000 Ho
0.750 0.750 0.750 Ni
0.250 0.250 0.250 Ru
0.500 0.500 0.500 Pb
```

- E (Ry/atom) = -0.43796
- E_form (meV per atom) = -123
- density of states at the Fermi level (states/eV per cell) = 4.0

=====

No. 4
Computed, not measured: a geometry-optimized Sc2AgP structure at the GGA-PBE level of DFT.

Cell and atoms, written as POSCAR:
```
Sc2AgP
1.0
-1.849 2.033 5.003
1.849 -2.033 5.003
1.849 2.033 -5.003
Sc Ag P
2 1 1
direct
0.000 0.000 0.000 Sc
0.736 0.236 0.500 Sc
0.470 0.470 0.000 Ag
0.253 0.753 0.500 P
```

- E (Ry/atom) = -0.42498
- E_form (meV per atom) = -551
- density of states at the Fermi level (states/eV per cell) = 2.9